1 | Here is an optimized crystal structure of Pt3WS from the Alexandria database. Energies are from PBE-GGA.

a = 4.850 Å, b = 4.850 Å, c = 4.850 Å
α = 90.00°, β = 90.00°, γ = 90.00°
Fractional coordinates of all 5 atoms:
S 0.500 0.500 0.500
W 0.000 0.000 0.000
Pt 0.000 0.500 0.000
Pt 0.000 0.000 0.500
Pt 0.500 0.000 0.000

Summary:
The calculation puts the density at 11.66 Mg/m³.


2 | Here is an optimized crystal structure of Pt3WS from the Alexandria database. Energies are from PBE-GGA.

a = 4.483 Å, b = 4.483 Å, c = 4.483 Å
α = 90.00°, β = 90.00°, γ = 90.00°
Each line ends with the local moment (μB).
Fractional coordinates of all 5 atoms:
S 0.000 0.000 0.000  0.02
W 0.500 0.500 0.500  2.30
Pt 0.000 0.500 0.000  0.05
Pt 0.000 0.000 0.500  0.06
Pt 0.500 0.000 0.000  0.06

Summary:
The calculation puts the density at 14.77 Mg/m³.


Most stable: 2


1 | Here is an optimized crystal structure of ZnPt2S2 from the Alexandria database. Energies are from PBE-GGA.

a = 6.972 Å, b = 6.972 Å, c = 3.524 Å
α = 90.00°, β = 90.00°, γ = 90.00°
Fractional coordinates of all 10 atoms:
Zn 0.000 0.000 0.000
Zn 0.500 0.500 0.000
S 0.297 0.797 0.000
S 0.797 0.703 0.000
S 0.703 0.203 0.000
S 0.203 0.297 0.000
Pt 0.137 0.637 0.500
Pt 0.637 0.863 0.500
Pt 0.863 0.363 0.500
Pt 0.363 0.137 0.500

Summary:
The calculation puts the density at 10.08 Mg/m³.


2 | Here is an optimized crystal structure of ZnPt2S2 from the Alexandria database. Energies are from PBE-GGA.

a = 4.397 Å, b = 4.397 Å, c = 6.244 Å
α = 69.38°, β = 69.38°, γ = 90.00°
Fractional coordinates of all 5 atoms:
Zn 0.000 0.000 0.000
S 0.340 0.340 0.320
S 0.660 0.660 0.680
Pt 0.750 0.250 0.500
Pt 0.250 0.750 0.500

Summary:
The calculation puts the density at 8.24 Mg/m³.


Most stable: 1